## FeRu2W (PBEsol)

Data for an optimized crystal structure of FeRu2W.

a = 3.7225 Å, b = 3.7626 Å, c = 3.7626 Å
α = 90.00°, β = 90.00°, γ = 90.00°
Last column: nearest neighbours and their distance in Å.
Positions (direct):
Ru 0.0000 0.5000 0.0000  4 Fe 2.65, 4 W 2.65, 4 Ru 2.66
Ru 0.0000 0.0000 0.5000  4 W 2.65, 4 Fe 2.65, 4 Ru 2.66
W 0.5000 0.5000 0.5000  8 Ru 2.65, 4 Fe 2.66
Fe 0.5000 0.0000 0.0000  8 Ru 2.65, 4 W 2.66

ΔE_f (eV per formula unit): 0.085